First-principles (GGA-PBE) data for a geometry-optimized Tl3PtF structure, as listed in Alexandria.

Properties
ΔE_f (raw) in eV/atom: -0.310
Total magnetic moment in μB per formula unit: 0.00
Energy above the most stable polymorph in this dataset in eV/f.u.: 1.25
D(E_F) in states/eV/f.u.: 0.66

Unit cell a=5.073 b=5.073 c=5.073 alpha=90.00 beta=90.00 gamma=90.00
Fractional positions:
1 Pt 0.500 0.500 0.500
2 Tl 0.500 0.000 0.000
3 Tl 0.000 0.500 0.000
4 Tl 0.000 0.000 0.500
5 F 0.000 0.000 0.000